Entry 1:
DFT (PBE) results for a relaxed structure of La2BeAl.

Calculated values
spin magnetization = 0.000 μB per atom
DOS at the Fermi energy = 4.757 states/eV per cell
ΔE_f = 0.42 eV/f.u.

Cell lengths 3.303, 3.303, 8.860 Å; angles 90.00, 90.00, 90.00 degrees
Space group P4mm (No. 99)
Symmetry-distinct sites (fractional):
La1 0.000 0.000 0.000
La2 0.500 0.500 0.367
Be1 0.500 0.500 0.760
Al1 0.000 0.000 0.630

Entry 2:
DFT (PBE) results for a relaxed structure of Rb2ZnAgO.

Calculated values
spin magnetization = 0.000 μB per atom
DOS at the Fermi energy = 2.894 states/eV per cell
uncorrected formation energy = -136 kJ/mol of formula units

Cell lengths 6.006, 6.006, 4.235 Å; angles 90.00, 90.00, 90.00 degrees
Space group P4/mmm (No. 123)
Symmetry-distinct sites (fractional):
Rb1 0.000 0.500 0.000
Zn1 0.000 0.000 0.500
Ag1 0.500 0.500 0.500
O1 0.500 0.500 0.000

Entry 3:
DFT (PBE) results for a relaxed structure of CrIr2Pt.

Calculated values
spin magnetization = 0.000 μB per atom
DOS at the Fermi energy = 2.617 states/eV per cell
ΔE_f = 1.25 eV/f.u.

Cell lengths 6.905, 6.905, 5.232 Å; angles 90.00, 90.00, 90.00 degrees
Space group I-42d (No. 122)
Symmetry-distinct sites (fractional):
Cr1 0.000 0.000 0.000
Ir1 0.203 0.750 0.125
Pt1 0.000 0.000 0.500

Entry 4:
DFT (PBE) results for a relaxed structure of PrHSe.

Calculated values
spin magnetization = 0.000 μB per atom
DOS at the Fermi energy = 0.000 states/eV per cell
uncorrected energy = -5.3105 eV/atom

Cell lengths 4.0490, 4.0490, 8.0398 Å; angles 90.00, 90.00, 120.00 degrees
Space group P6_3/mmc (No. 194)
Symmetry-distinct sites (fractional):
Pr1 0.3333 0.6667 0.2500
H1 0.3333 0.6667 0.7500
Se1 0.0000 0.0000 0.0000

Entry 5:
DFT (PBE) results for a relaxed structure of Tb5Pm6Pr.

Calculated values
spin magnetization = 0.000 μB per atom
DOS at the Fermi energy = 31.498 states/eV per cell
ΔE_f = 0.16 eV/f.u.

Cell lengths 6.272, 10.864, 11.975 Å; angles 90.00, 100.08, 90.00 degrees
Space group C2/m (No. 12)
Symmetry-distinct sites (fractional):
Tb1 0.000 0.000 0.000
Tb2 0.000 0.167 0.500
Tb3 0.000 0.333 0.000
Pm1 0.249 0.167 0.248
Pm2 0.250 0.000 0.751
Pr1 0.000 0.500 0.500

Entry 6:
DFT (PBE) results for a relaxed structure of Pa2Ni2Te.

Calculated values
spin magnetization = 0.000 μB per atom
DOS at the Fermi energy = 5.771 states/eV per cell
uncorrected formation energy = -233 kJ/mol of formula units

Cell lengths 6.940, 6.940, 4.054 Å; angles 90.00, 90.00, 90.00 degrees
Space group P4/mbm (No. 127)
Symmetry-distinct sites (fractional):
Pa1 0.149 0.351 0.000
Ni1 0.134 0.634 0.500
Te1 0.000 0.000 0.500